YAg2Mo: relaxed, GGA-PBE.

Unit cell a=3.2212 b=3.8255 c=6.4696 alpha=90.00 beta=90.00 gamma=90.00
Closest atoms and distances in Å follow each position.
Positions (direct):
Ag 0.0000 0.0000 0.0256  1 Mo 2.89, 6 Ag 2.91-3.22, 4 Y 3.08
Ag 0.5000 0.5000 0.2556  4 Mo 2.87, 4 Ag 2.91, 1 Y 3.18
Mo 0.0000 0.0000 0.4721  5 Ag 2.87-2.89, 4 Y 3.07
Y 0.5000 0.5000 0.7467  4 Mo 3.07, 6 Ag 3.08-3.29, 2 Y 3.22

Calculated values
ΔE to the lowest computed polymorph = 0.032 eV/atom
N(E_F) = 4.38 states/eV/cell
energy of formation = 1.30 eV/f.u.
symmetry = No. 25